Record 1
! PBE-GGA KTe2P, optimized geometry; values from VASP
&SYSTEM
  ibrav = 0, nat = 4, ntyp = 3
/
ATOMIC_SPECIES
K 39.10 K.upf
Te 127.60 Te.upf
P 30.97 P.upf
CELL_PARAMETERS angstrom
2.0816 -3.1172 0.0000
2.0816 3.1172 0.0000
0.0000 0.0000 9.1104
ATOMIC_POSITIONS crystal
K 0.0000 0.0000 0.0000
Te 0.5000 0.5000 0.2979
Te 0.5000 0.5000 0.7021
P 0.0000 0.0000 0.5000
! ΔE_f (raw): 0.099 eV per atom
! total energy: -3.10 eV/atom
! calculated density: 4.6 g/cm³
! volume: 29.558 Å³/atom
! total magnetic moment: 0.0 μB/f.u.
! SG: Cmmm (65)
! crystal system: orthorhombic

***

Record 2
! PBE-GGA KTe3P, optimized geometry; values from VASP
&SYSTEM
  ibrav = 0, nat = 5, ntyp = 3
/
ATOMIC_SPECIES
K 39.10 K.upf
Te 127.60 Te.upf
P 30.97 P.upf
CELL_PARAMETERS angstrom
5.4202 0.0000 0.0000
0.0000 5.4202 0.0000
0.0000 0.0000 5.4202
ATOMIC_POSITIONS crystal
K 0.0000 0.0000 0.0000
Te 0.0000 0.5000 0.5000
Te 0.5000 0.0000 0.5000
Te 0.5000 0.5000 0.0000
P 0.5000 0.5000 0.5000
! ΔE_f (raw): -0.069 eV per atom
! total energy: -3.26 eV/atom
! calculated density: 4.7 g/cm³
! energy above the most stable polymorph in this dataset: 0.000 eV per atom
! volume: 31.847 Å³/atom
! total magnetic moment: 0.0 μB/f.u.
! SG: Pm-3m (221)
! crystal system: cubic

***

Record 3
! PBE-GGA KTe2P, optimized geometry; values from VASP
&SYSTEM
  ibrav = 0, nat = 4, ntyp = 3
/
ATOMIC_SPECIES
K 39.10 K.upf
Te 127.60 Te.upf
P 30.97 P.upf
CELL_PARAMETERS angstrom
5.7989 0.0000 0.0000
0.0000 3.1595 0.0000
-0.0273 0.0000 6.3257
ATOMIC_POSITIONS crystal
K 0.0000 0.0000 0.0000
Te 0.0000 0.0000 0.5000
Te 0.5000 0.5000 0.0000
P 0.5000 0.5000 0.5000
! ΔE_f (raw): 0.133 eV per atom
! total energy: -3.07 eV/atom
! calculated density: 4.7 g/cm³
! volume: 28.974 Å³/atom
! total magnetic moment: 0.0 μB/f.u.
! SG: P2/m (10)
! crystal system: monoclinic

***

Record 4
! PBE-GGA KTeP2, optimized geometry; values from VASP
&SYSTEM
  ibrav = 0, nat = 4, ntyp = 3
/
ATOMIC_SPECIES
K 39.10 K.upf
Te 127.60 Te.upf
P 30.97 P.upf
CELL_PARAMETERS angstrom
-1.8395 2.9248 4.7900
1.8395 -2.9248 4.7900
1.8395 2.9248 -4.7900
ATOMIC_POSITIONS crystal
K 0.0000 0.0000 0.0000
Te 0.5000 0.5000 0.0000
P 0.2974 0.7974 0.5000
P 0.7026 0.2026 0.5000
! ΔE_f (raw): 0.294 eV per atom
! total energy: -3.47 eV/atom
! calculated density: 3.7 g/cm³
! volume: 25.771 Å³/atom
! total magnetic moment: 0.0 μB/f.u.
! SG: Immm (71)
! crystal system: orthorhombic

***

Record 5
! PBE-GGA K4TeP, optimized geometry; values from VASP
&SYSTEM
  ibrav = 0, nat = 6, ntyp = 3
/
ATOMIC_SPECIES
K 39.10 K.upf
Te 127.60 Te.upf
P 30.97 P.upf
CELL_PARAMETERS angstrom
0.0000 4.7169 4.7169
4.7169 0.0000 4.7169
4.7169 4.7169 0.0000
ATOMIC_POSITIONS crystal
K 0.1251 0.1251 0.1251
K 0.1251 0.1251 0.6248
K 0.1251 0.6248 0.1251
K 0.6248 0.1251 0.1251
Te 0.5000 0.5000 0.5000
P 0.7500 0.7500 0.7500
! ΔE_f (raw): 0.165 eV per atom
! total energy: -1.99 eV/atom
! calculated density: 2.5 g/cm³
! volume: 34.983 Å³/atom
! total magnetic moment: 1.2 μB/f.u.
! SG: F-43m (216)
! crystal system: cubic

***

Record 6
! PBE-GGA KTeP2, optimized geometry; values from VASP
&SYSTEM
  ibrav = 0, nat = 4, ntyp = 3
/
ATOMIC_SPECIES
K 39.10 K.upf
Te 127.60 Te.upf
P 30.97 P.upf
CELL_PARAMETERS angstrom
-2.1616 2.1616 4.9825
2.1616 -2.1616 4.9825
2.1616 2.1616 -4.9825
ATOMIC_POSITIONS crystal
K 0.0000 0.0000 0.0000
Te 0.7500 0.2500 0.5000
P 0.2500 0.7500 0.5000
P 0.5000 0.5000 0.0000
! ΔE_f (raw): 0.519 eV per atom
! total energy: -3.25 eV/atom
! calculated density: 4.1 g/cm³
! volume: 23.281 Å³/atom
! total magnetic moment: 0.0 μB/f.u.
! SG: I-4m2 (119)
! crystal system: tetragonal

***

Record 7
! PBE-GGA K2TeP, optimized geometry; values from VASP
&SYSTEM
  ibrav = 0, nat = 4, ntyp = 3
/
ATOMIC_SPECIES
K 39.10 K.upf
Te 127.60 Te.upf
P 30.97 P.upf
CELL_PARAMETERS angstrom
3.0323 -4.5582 0.0000
3.0323 4.5582 0.0000
0.0000 0.0000 4.3940
ATOMIC_POSITIONS crystal
K 0.0000 0.5000 0.0000
K 0.5000 0.0000 0.0000
Te 0.0000 0.0000 0.5000
P 0.5000 0.5000 0.5000
! ΔE_f (raw): -0.240 eV per atom
! total energy: -2.93 eV/atom
! calculated density: 3.2 g/cm³
! energy above the most stable polymorph in this dataset: 0.181 eV per atom
! volume: 30.366 Å³/atom
! total magnetic moment: 0.3 μB/f.u.
! SG: Cmmm (65)
! crystal system: orthorhombic

***

Record 8
! PBE-GGA K2TeP, optimized geometry; values from VASP
&SYSTEM
  ibrav = 0, nat = 4, ntyp = 3
/
ATOMIC_SPECIES
K 39.10 K.upf
Te 127.60 Te.upf
P 30.97 P.upf
CELL_PARAMETERS angstrom
6.4051 0.0000 0.0000
0.0000 6.4051 0.0000
0.0000 0.0000 3.0069
ATOMIC_POSITIONS crystal
K 0.0000 0.5000 0.0000
K 0.5000 0.0000 0.0000
Te 0.0000 0.0000 0.5000
P 0.5000 0.5000 0.5000
! ΔE_f (raw): -0.209 eV per atom
! total energy: -2.90 eV/atom
! calculated density: 3.2 g/cm³
! energy above the most stable polymorph in this dataset: 0.212 eV per atom
! volume: 30.839 Å³/atom
! total magnetic moment: 0.0 μB/f.u.
! SG: P4/mmm (123)
! crystal system: tetragonal

***

Record 9
! PBE-GGA KTeP2, optimized geometry; values from VASP
&SYSTEM
  ibrav = 0, nat = 4, ntyp = 3
/
ATOMIC_SPECIES
K 39.10 K.upf
Te 127.60 Te.upf
P 30.97 P.upf
CELL_PARAMETERS angstrom
3.1745 0.0000 0.0000
0.0000 3.1745 0.0000
0.0000 0.0000 9.9380
ATOMIC_POSITIONS crystal
K 0.0000 0.0000 0.0000
Te 0.5000 0.5000 0.7216
P 0.0000 0.0000 0.3466
P 0.5000 0.5000 0.2504
! ΔE_f (raw): -0.047 eV per atom
! total energy: -3.81 eV/atom
! calculated density: 3.8 g/cm³
! volume: 25.037 Å³/atom
! total magnetic moment: 0.0 μB/f.u.
! SG: P4mm (99)
! crystal system: tetragonal

***

Record 10
! PBE-GGA KTe2P, optimized geometry; values from VASP
&SYSTEM
  ibrav = 0, nat = 8, ntyp = 3
/
ATOMIC_SPECIES
K 39.10 K.upf
Te 127.60 Te.upf
P 30.97 P.upf
CELL_PARAMETERS angstrom
-4.1262 4.1262 4.5465
4.1262 -4.1262 4.5465
4.1262 4.1262 -4.5465
ATOMIC_POSITIONS crystal
K 0.0000 0.0000 0.0000
K 0.7500 0.2500 0.5000
Te 0.2229 0.6250 0.0979
Te 0.3750 0.4729 0.5979
Te 0.5271 0.1250 0.9021
Te 0.8750 0.7771 0.4021
P 0.2500 0.7500 0.5000
P 0.5000 0.5000 0.0000
! ΔE_f (raw): -0.188 eV per atom
! total energy: -3.39 eV/atom
! calculated density: 3.5 g/cm³
! volume: 38.703 Å³/atom
! total magnetic moment: 0.0 μB/f.u.
! SG: I-42d (122)
! crystal system: tetragonal

***

Record 11
! PBE-GGA K3Te4P, optimized geometry; values from VASP
&SYSTEM
  ibrav = 0, nat = 32, ntyp = 3
/
ATOMIC_SPECIES
K 39.10 K.upf
Te 127.60 Te.upf
P 30.97 P.upf
CELL_PARAMETERS angstrom
10.0386 0.0000 0.0000
0.0000 11.7443 0.0000
0.0000 0.0000 10.8360
ATOMIC_POSITIONS crystal
K 0.0793 0.0452 0.1904
K 0.0793 0.4548 0.1904
K 0.1516 0.7500 0.4174
K 0.3484 0.2500 0.9174
K 0.4207 0.5452 0.6904
K 0.4207 0.9548 0.6904
K 0.5793 0.0452 0.3096
K 0.5793 0.4548 0.3096
K 0.6516 0.7500 0.0826
K 0.8484 0.2500 0.5826
K 0.9207 0.5452 0.8096
K 0.9207 0.9548 0.8096
Te 0.0244 0.7500 0.1033
Te 0.1366 0.0726 0.5227
Te 0.1366 0.4274 0.5227
Te 0.1641 0.7500 0.7533
Te 0.3359 0.2500 0.2533
Te 0.3634 0.5726 0.0227
Te 0.3634 0.9274 0.0227
Te 0.4756 0.2500 0.6033
Te 0.5244 0.7500 0.3967
Te 0.6366 0.0726 0.9773
Te 0.6366 0.4274 0.9773
Te 0.6641 0.7500 0.7467
Te 0.8359 0.2500 0.2467
Te 0.8634 0.5726 0.4773
Te 0.8634 0.9274 0.4773
Te 0.9756 0.2500 0.8967
P 0.2303 0.7500 0.9734
P 0.2697 0.2500 0.4734
P 0.7303 0.7500 0.5266
P 0.7697 0.2500 0.0266
! ΔE_f (raw): -0.624 eV per atom
! total energy: -3.28 eV/atom
! calculated density: 3.4 g/cm³
! volume: 39.922 Å³/atom
! total magnetic moment: 0.0 μB/f.u.
! SG: Pnma (62)
! crystal system: orthorhombic

***

Record 12
! PBE-GGA K2TeP, optimized geometry; values from VASP
&SYSTEM
  ibrav = 0, nat = 4, ntyp = 3
/
ATOMIC_SPECIES
K 39.10 K.upf
Te 127.60 Te.upf
P 30.97 P.upf
CELL_PARAMETERS angstrom
6.3299 -2.0687 0.0000
6.3299 2.0687 0.0000
-1.5494 0.0000 5.3569
ATOMIC_POSITIONS crystal
K 0.0000 0.0000 0.0000
K 0.7363 0.7363 0.5537
Te 0.2898 0.2898 0.1059
P 0.4567 0.4567 0.4584
! ΔE_f (raw): -0.421 eV per atom
! total energy: -3.11 eV/atom
! calculated density: 2.8 g/cm³
! energy above the most stable polymorph in this dataset: 0.000 eV per atom
! volume: 35.073 Å³/atom
! total magnetic moment: 0.0 μB/f.u.
! SG: Cm (8)
! crystal system: monoclinic